Tm2MgGa3Cu4 | Alexandria via LeMat-Bulk | PBE | optimized geometry; SG = P-4m2; total moment = 0.0 μB per formula unit; DOS at the Fermi energy = 4.116 states/eV/cell; formation enthalpy at 0 K = -3.6 eV per formula unit
1.0
4.0387 0.0000 0.0000
0.0000 4.0387 0.0000
0.0000 0.0000 10.7011
Tm Mg Ga Cu
2 1 3 4
Direct
0.5000 0.0000 0.2342
0.0000 0.5000 0.7658
0.5000 0.5000 0.5000
0.0000 0.0000 0.5000
0.5000 0.0000 0.8718
0.0000 0.5000 0.1282
0.5000 0.5000 0.0000
0.0000 0.0000 0.0000
0.5000 0.0000 0.6498
0.0000 0.5000 0.3502

TmMgGa2Cu5 | Alexandria via LeMat-Bulk | PBE | optimized geometry; SG = P4/mmm; total moment = 0.0 μB per formula unit; DOS at the Fermi energy = 2.808 states/eV/cell; formation enthalpy at 0 K = -0.6 eV per formula unit
1.0
4.4325 0.0000 0.0000
0.0000 4.4325 0.0000
0.0000 0.0000 7.5614
Tm Mg Ga Cu
1 1 2 5
Direct
0.0000 0.0000 0.5000
0.0000 0.0000 0.0000
0.5000 0.5000 0.1608
0.5000 0.5000 0.8392
0.0000 0.5000 0.2839
0.5000 0.0000 0.2839
0.0000 0.5000 0.7161
0.5000 0.0000 0.7161
0.5000 0.5000 0.5000

TmMgGa2Cu2 | Alexandria via LeMat-Bulk | PBE | optimized geometry; SG = P-3m1; total moment = 0.0 μB per formula unit; DOS at the Fermi energy = 2.818 states/eV/cell; formation enthalpy at 0 K = -2.2 eV per formula unit
1.0
-0.7935 3.8039 -1.7009
-1.6891 -3.4882 -1.7239
-5.3848 0.6488 3.9632
Tm Mg Ga Cu
1 1 2 2
Direct
0.0000 0.0000 0.0000
0.0000 0.0000 0.5000
0.6667 0.3333 0.7290
0.3333 0.6667 0.2710
0.6667 0.3333 0.2917
0.3333 0.6667 0.7083

YMgGa2Cu2 | Alexandria via LeMat-Bulk | PBE | optimized geometry; SG = P-3m1; total moment = 0.0 μB per formula unit; DOS at the Fermi energy = 2.410 states/eV/cell; formation enthalpy at 0 K = -2.4 eV per formula unit
1.0
-1.2501 0.6527 4.0110
3.9809 -1.2551 -0.8085
1.9655 6.5232 -0.4489
Y Mg Ga Cu
1 1 2 2
Direct
0.0000 0.0000 0.0000
0.0000 0.0000 0.5000
0.6667 0.3333 0.7235
0.3333 0.6667 0.2765
0.6667 0.3333 0.3000
0.3333 0.6667 0.7000

Y2Mg2Ga4Cu | Alexandria via LeMat-Bulk | PBE | optimized geometry; SG = I4/mmm; total moment = 0.0 μB per formula unit; DOS at the Fermi energy = 4.003 states/eV/cell; formation enthalpy at 0 K = -3.4 eV per formula unit
1.0
-0.1666 -6.3008 0.3411
0.3603 2.8602 -5.6155
5.1340 3.1411 1.9025
Y Mg Ga Cu
2 2 4 1
Direct
0.5000 0.7500 0.2500
0.5000 0.2500 0.7500
0.0000 0.7204 0.7204
0.0000 0.2796 0.2796
0.0000 0.7251 0.2749
0.4503 0.7251 0.7251
0.0000 0.2749 0.7251
0.5497 0.2749 0.2749
0.0000 0.0000 0.0000

Y2MgGa4Cu3 | Alexandria via LeMat-Bulk | PBE | optimized geometry; SG = P-4m2; total moment = 0.0 μB per formula unit; DOS at the Fermi energy = 5.327 states/eV/cell; formation enthalpy at 0 K = -4.2 eV per formula unit
1.0
4.0817 0.0000 0.0000
0.0000 4.0817 0.0000
0.0000 0.0000 10.9365
Y Mg Ga Cu
2 1 4 3
Direct
0.5000 0.0000 0.2333
0.0000 0.5000 0.7667
0.5000 0.5000 0.5000
0.5000 0.5000 0.0000
0.0000 0.0000 0.0000
0.5000 0.0000 0.6545
0.0000 0.5000 0.3455
0.0000 0.0000 0.5000
0.5000 0.0000 0.8716
0.0000 0.5000 0.1284

YMg2Ga2Cu | Alexandria via LeMat-Bulk | PBE | optimized geometry; SG = I4/mmm; total moment = 0.0 μB per formula unit; DOS at the Fermi energy = 4.400 states/eV/cell; formation enthalpy at 0 K = 0.8 eV per formula unit
1.0
5.1951 0.0000 0.0000
0.0000 5.1951 0.0000
-2.5975 -2.5975 5.2875
Y Mg Ga Cu
1 2 2 1
Direct
0.5000 0.5000 0.0000
0.2500 0.7500 0.5000
0.7500 0.2500 0.5000
0.7829 0.7829 0.5658
0.2171 0.2171 0.4342
0.0000 0.0000 0.0000

MgZnGa2Cu | Alexandria via LeMat-Bulk | PBE | optimized geometry; SG = P4/mmm; total moment = 0.0 μB per formula unit; DOS at the Fermi energy = 1.676 states/eV/cell; formation enthalpy at 0 K = 0.8 eV per formula unit
1.0
-3.9471 1.6229 -1.7271
-2.5354 -3.3918 2.6073
-0.3271 2.9500 3.5195
Mg Zn Cu Ga
1 1 1 2
Direct
0.0000 0.5000 0.0000
0.5000 0.5000 0.5000
0.0000 0.0000 0.0000
0.0000 0.0000 0.5000
0.5000 0.0000 0.0000

MgZnGaCu | Alexandria via LeMat-Bulk | PBE | optimized geometry; SG = Imm2; total moment = 0.0 μB per formula unit; DOS at the Fermi energy = 0.860 states/eV/cell; formation enthalpy at 0 K = 0.5 eV per formula unit
1.0
2.7494 0.0000 0.0000
0.0000 5.2153 0.0000
-1.3747 -2.6077 4.9531
Mg Zn Ga Cu
1 1 1 1
Direct
0.8180 0.8180 0.6359
0.5283 0.5283 0.0566
0.1055 0.1055 0.2111
0.8176 0.3176 0.6351

Mg2Zn2GaCu5 | Alexandria via LeMat-Bulk | PBE | optimized geometry; SG = P4/mbm; total moment = 0.0 μB per formula unit; DOS at the Fermi energy = 4.733 states/eV/cell; formation enthalpy at 0 K = -0.4 eV per formula unit
1.0
-3.2811 -1.3231 -1.0788
-0.0105 -5.6331 6.9403
-4.1257 6.1598 4.9934
Mg Zn Ga Cu
4 4 2 10
Direct
0.0000 0.6748 0.1748
0.0000 0.3252 0.8252
0.0000 0.1748 0.3252
0.0000 0.8252 0.6748
0.0000 0.1227 0.6227
0.0000 0.8773 0.3773
0.0000 0.6227 0.8773
0.0000 0.3773 0.1227
0.0000 0.0000 0.0000
0.0000 0.5000 0.5000
0.5000 0.1969 0.0680
0.5000 0.8031 0.9320
0.5000 0.0680 0.8031
0.5000 0.6969 0.4320
0.5000 0.9320 0.1969
0.5000 0.3031 0.5680
0.5000 0.5680 0.6969
0.5000 0.4320 0.3031
0.5000 0.5000 0.0000
0.5000 0.0000 0.5000

Mn9Ga11Cu4 | Alexandria via LeMat-Bulk | PBE | optimized geometry; SG = Cmmm; total moment = 23.7 μB per formula unit; DOS at the Fermi energy = 13.018 states/eV/cell; formation enthalpy at 0 K = -0.9 eV per formula unit
1.0
2.7054 0.0000 0.0000
0.0000 10.7067 -2.4932
0.0000 1.9149 10.8251
Mn Ga Cu
9 11 4
Direct
0.5000 0.6197 0.1349
0.5000 0.3803 0.8651
0.5000 0.1349 0.6197
0.5000 0.8651 0.3803
0.5000 0.7950 0.9713
0.5000 0.2050 0.0287
0.5000 0.9713 0.7950
0.5000 0.0287 0.2050
0.5000 0.5000 0.5000
0.0000 0.5891 0.9267
0.0000 0.4109 0.0733
0.0000 0.9267 0.5891
0.0000 0.0733 0.4109
0.0000 0.6454 0.3546
0.0000 0.3546 0.6454
0.0000 0.8227 0.1773
0.0000 0.1773 0.8227
0.0000 0.0000 0.0000
0.0000 0.7680 0.7680
0.0000 0.2320 0.2320
0.5000 0.5619 0.7232
0.5000 0.4381 0.2768
0.5000 0.7232 0.5619
0.5000 0.2768 0.4381

MnGaCu2 | Alexandria via LeMat-Bulk | PBE | optimized geometry; SG = F-43m; total moment = 3.4 μB per formula unit; DOS at the Fermi energy = 1.413 states/eV/cell; formation enthalpy at 0 K = -0.1 eV per formula unit
1.0
4.1950 0.0001 0.0000
2.0975 3.6329 0.0000
2.0975 1.2110 3.4255
Mn Ga Cu
1 1 2
Direct
0.7500 0.7500 0.7499
0.5001 0.5001 0.4998
0.0000 0.0000 0.0001
0.2500 0.2500 0.2501

> The lowest formation enthalpy at 0 K belongs to which entry?

Y2MgGa4Cu3